The following is a DFT calculation (PBE+U) of an optimized crystal structure of DyNi2SbO6.

Values from the calculation:
* total moment: 4.000 μB per cell
* E_tot: -62.17 eV per formula unit

a = 5.3321 Å, b = 5.3324 Å, c = 5.7178 Å
α = 62.21°, β = 62.20°, γ = 59.99°
Sites, in units of the cell vectors:
Dy (0.8072, 0.8073, 0.5783)
Ni (0.5212, 0.5213, 0.4364)
Ni (0.0148, 0.0148, 0.9555)
Sb (0.3193, 0.3192, 0.0422)
O (0.5958, 0.2337, 0.2385)
O (0.2338, 0.9319, 0.2383)
O (0.9320, 0.5960, 0.2384)
O (0.3865, 0.7118, 0.7625)
O (0.7120, 0.1392, 0.7625)
O (0.1391, 0.3865, 0.7626)


The following is a DFT calculation (PBE+U) of an optimized crystal structure of FeCuPdF6.

Values from the calculation:
* total moment: 14.004 μB per cell
* E_tot: -41.28 eV per formula unit

a = 4.9498 Å, b = 4.9498 Å, c = 9.7426 Å
α = 90.00°, β = 90.00°, γ = 90.00°
Sites, in units of the cell vectors:
Fe (0.5000, 0.5000, 0.8345)
Fe (0.0000, 0.0000, 0.3345)
Cu (0.5000, 0.5000, 0.4972)
Cu (0.0000, 0.0000, 0.9972)
Pd (0.5000, 0.5000, 0.1684)
Pd (0.0000, 0.0000, 0.6684)
F (0.1983, 0.8017, 0.4814)
F (0.8017, 0.1983, 0.4814)
F (0.3017, 0.3017, 0.9814)
F (0.6983, 0.6983, 0.9814)
F (0.1804, 0.8196, 0.1760)
F (0.8196, 0.1804, 0.1760)
F (0.3196, 0.3196, 0.6760)
F (0.6804, 0.6804, 0.6760)
F (0.7818, 0.2182, 0.8425)
F (0.2182, 0.7818, 0.8425)
F (0.7182, 0.7182, 0.3425)
F (0.2818, 0.2818, 0.3425)


What is the formula in the first record? DyNi2SbO6


Number 1 is which compound? DyNi2SbO6


Which of these has the lowest total moment? DyNi2SbO6